Record 1
Density functional theory data (PBE) for a relaxed Cu2ReAg crystal.

The value obtained for the calculated total energy is -5.390 eV/atom. As for the magnetic moment: 0.84 μB/cell. The energy of formation is 0.483 eV per atom.

It has space group Imm2 (No. 44), with a = 2.6253 Å, b = 4.6243 Å, c = 9.4229 Å, α = 90.00°, β = 90.00° and γ = 90.00°. The asymmetric unit holds Cu at (0.0000, 0.0000, 0.0000), Cu at (0.0000, 0.5000, 0.2738), Re at (0.0000, 0.5000, 0.7422) and Ag at (0.0000, 0.0000, 0.5180).

***

Record 2
Density functional theory data (PBE) for a relaxed SrTe2AuN crystal.

The value obtained for the calculated total energy is -3.787 eV/atom. As for the magnetic moment: 1.55 μB/cell. For the formation energy without anion corrections, the calculation gives 0.6 eV/f.u.

It has space group P4/mmm (No. 123), with a = 5.8234 Å, b = 5.8234 Å, c = 4.0030 Å, α = 90.00°, β = 90.00° and γ = 90.00°. The asymmetric unit holds Sr at (0.0000, 0.0000, 0.0000), Te at (0.0000, 0.5000, 0.5000), Au at (0.5000, 0.5000, 0.5000) and N at (0.5000, 0.5000, 0.0000).

***

Record 3
Density functional theory data (PBE) for a relaxed Sm12HoSc7 crystal.

The value obtained for the calculated total energy is -5.116 eV/atom. As for the magnetic moment: 0.04 μB/cell. The energy of formation is 0.161 eV per atom.

It has space group R-3 (No. 148, hexagonal axes), with a = 14.7870 Å, b = 14.7870 Å, c = 9.6972 Å, α = 90.00°, β = 90.00° and γ = 120.00°. The asymmetric unit holds Sm at (0.0415, 0.8469, 0.2549), Sm at (0.0435, 0.7868, 0.5816), Ho at (0.0000, 0.0000, 0.0000), Sc at (0.0000, 0.0000, 0.5000) and Sc at (0.0707, 0.8269, 0.9286).

***

Record 4
Density functional theory data (PBE) for a relaxed Rb3Na2USe6 crystal.

The value obtained for the calculated total energy is -4.213 eV/atom. As for the magnetic moment: 2.06 μB/cell. For the formation energy without anion corrections, the calculation gives -12.8 eV/f.u.

It has space group C2/m (No. 12), with a = 7.6339 Å, b = 13.2013 Å, c = 8.2094 Å, α = 90.00°, β = 107.87° and γ = 90.00°. The asymmetric unit holds Rb at (0.0000, 0.0000, 0.0000), Rb at (0.0000, 0.3224, 0.0000), Na at (0.0000, 0.1658, 0.5000), U at (0.0000, 0.5000, 0.5000), Se at (0.2130, 0.3526, 0.6948) and Se at (0.2243, 0.5000, 0.3000).